1.
DFT (GGA-PBEsol) results for crystalline YTiNbSn2 at its relaxed geometry.

Summary:
* final energy: -6.1352 eV/atom

Cell: 5.288 5.288 5.092 Å, 90.00 90.00 90.00°
Space group P4/mmm (No. 123)
Symmetry-distinct sites (fractional):
Y: 0.000 0.000 0.000 x1
Ti: 0.500 0.500 0.000 x1
Nb: 0.000 0.000 0.500 x1
Sn: 0.000 0.500 0.500 x2

2.
DFT (GGA-PBEsol) results for crystalline YNb3Sn at its relaxed geometry.

Summary:
* final energy: -6.9406 eV/atom

Cell: 4.876 4.876 4.876 Å, 90.00 90.00 90.00°
Space group Pm-3m (No. 221)
Symmetry-distinct sites (fractional):
Y: 0.000 0.000 0.000 x1
Nb: 0.000 0.000 0.500 x3
Sn: 0.500 0.500 0.500 x1

3.
DFT (GGA-PBEsol) results for crystalline NbZnSn3 at its relaxed geometry.

Summary:
* final energy: -4.0841 eV/atom

Cell: 5.024 5.024 5.024 Å, 90.00 90.00 90.00°
Space group Pm-3m (No. 221)
Symmetry-distinct sites (fractional):
Nb: 0.000 0.000 0.000 x1
Zn: 0.500 0.500 0.500 x1
Sn: 0.000 0.500 0.500 x3

4.
DFT (GGA-PBEsol) results for crystalline SrNbZnTc2 at its relaxed geometry.

Summary:
* final energy: -6.3184 eV/atom

Cell: 4.704 4.704 5.157 Å, 90.00 90.00 90.00°
Space group P4/mmm (No. 123)
Symmetry-distinct sites (fractional):
Sr: 0.000 0.000 0.000 x1
Nb: 0.500 0.500 0.500 x1
Zn: 0.500 0.500 0.000 x1
Tc: 0.000 0.500 0.500 x2

5.
DFT (GGA-PBEsol) results for crystalline SrNb2Te2 at its relaxed geometry.

Summary:
* final energy: -6.6676 eV/atom

Cell: 4.023 4.023 15.373 Å, 90.00 90.00 90.00°
Space group I4/mmm (No. 139)
Symmetry-distinct sites (fractional):
Sr: 0.000 0.000 0.000 x2
Nb: 0.000 0.500 0.250 x4
Te: 0.000 0.000 0.381 x4

6.
DFT (GGA-PBEsol) results for crystalline SrNbTe3 at its relaxed geometry.

Summary:
* relative energy among the computed polymorphs: 0 kJ/mol of formula units

Cell: 5.439 5.439 5.439 Å, 90.00 90.00 90.00°
Space group Pm-3m (No. 221)
Symmetry-distinct sites (fractional):
Sr: 0.000 0.000 0.000 x1
Nb: 0.500 0.500 0.500 x1
Te: 0.000 0.500 0.500 x3

7.
DFT (GGA-PBEsol) results for crystalline SrNbTe3 at its relaxed geometry.

Summary:
* relative energy among the computed polymorphs: 740 kJ/mol of formula units

Cell: 5.851 5.851 5.851 Å, 90.00 90.00 90.00°
Space group Pm-3m (No. 221)
Symmetry-distinct sites (fractional):
Sr: 0.000 0.000 0.000 x1
Nb: 0.500 0.500 0.500 x1
Te: 0.000 0.000 0.500 x3

8.
DFT (GGA-PBEsol) results for crystalline SrNb3W at its relaxed geometry.

Summary:
* final energy: -8.4928 eV/atom

Cell: 4.962 4.962 4.962 Å, 90.00 90.00 90.00°
Space group Pm-3m (No. 221)
Symmetry-distinct sites (fractional):
Sr: 0.000 0.000 0.000 x1
Nb: 0.000 0.500 0.500 x3
W: 0.500 0.500 0.500 x1

9.
DFT (GGA-PBEsol) results for crystalline Ta2NbTc at its relaxed geometry.

Summary:
* final energy: -12.0279 eV/atom

Cell: 6.413 6.413 6.413 Å, 90.00 90.00 90.00°
Space group Fm-3m (No. 225)
Symmetry-distinct sites (fractional):
Ta: 0.250 0.250 0.250 x8
Nb: 0.000 0.000 0.000 x4
Tc: 0.000 0.000 0.500 x4

10.
DFT (GGA-PBEsol) results for crystalline TaNbTc2 at its relaxed geometry.

Summary:
* final energy: -11.8678 eV/atom

Cell: 6.311 6.311 6.311 Å, 90.00 90.00 90.00°
Space group Fm-3m (No. 225)
Symmetry-distinct sites (fractional):
Ta: 0.000 0.000 0.000 x4
Nb: 0.000 0.000 0.500 x4
Tc: 0.250 0.250 0.250 x8

11.
DFT (GGA-PBEsol) results for crystalline TaNbTe4 at its relaxed geometry.

Summary:
* final energy: -6.6728 eV/atom

Cell: 7.187 7.496 9.774 Å, 110.92 100.60 103.87°
Space group P1 (No. 1)
Symmetry-distinct sites (fractional):
Ta: 0.000 0.000 0.000 x1
Ta: 0.174 0.985 0.712 x1
Ta: 0.675 0.986 0.712 x1
Nb: 0.349 0.972 0.425 x1
Nb: 0.500 0.999 0.999 x1
Nb: 0.849 0.972 0.425 x1
Te: 0.020 0.678 0.404 x1
Te: 0.132 0.199 0.330 x1
Te: 0.217 0.774 0.094 x1
Te: 0.328 0.293 0.021 x1
Te: 0.354 0.693 0.720 x1
Te: 0.495 0.278 0.703 x1
Te: 0.521 0.678 0.404 x1
Te: 0.632 0.198 0.330 x1
Te: 0.717 0.774 0.094 x1
Te: 0.829 0.293 0.021 x1
Te: 0.854 0.694 0.722 x1
Te: 0.995 0.278 0.703 x1

12.
DFT (GGA-PBEsol) results for crystalline TaNbTeW2 at its relaxed geometry.

Summary:
* final energy: -8.6474 eV/atom

Cell: 4.775 4.775 4.831 Å, 90.00 90.00 90.00°
Space group P4/mmm (No. 123)
Symmetry-distinct sites (fractional):
Ta: 0.000 0.000 0.000 x1
Nb: 0.500 0.500 0.000 x1
Te: 0.500 0.500 0.500 x1
W: 0.000 0.500 0.500 x2